TbNd8Er3 | PBE | optimized geometry

Calculated values
M_tot = 0.0 μB/cell
ΔE_f = 0.113 eV/atom
SG = No. 12
Fermi-level density of states = 22.79 states/eV/cell
total energy = -4.5926 eV/atom

Cell: 6.9652 6.9652 9.8677 Å, 97.17 97.17 119.14°
Last column: nearest neighbours and their distance in Å.
Element x y z (fractional)
Tb (0.0000, 0.0000, 0.0000)  8 Nd 3.53-3.79, 2 Er 3.53
Nd (0.1799, 0.1799, 0.6681)  3 Er 3.49-3.52, 6 Nd 3.51-3.65, 1 Tb 3.79
Nd (0.1842, 0.6791, 0.1664)  3 Er 3.49-3.82, 6 Nd 3.53-3.64, 1 Tb 3.54
Nd (0.3192, 0.3192, 0.3369)  3 Er 3.50-3.84, 6 Nd 3.51-3.64, 1 Tb 3.53
Nd (0.3209, 0.8158, 0.8336)  3 Er 3.49-3.82, 6 Nd 3.53-3.64, 1 Tb 3.54
Nd (0.6791, 0.1842, 0.1664)  3 Er 3.49-3.82, 6 Nd 3.53-3.64, 1 Tb 3.54
Nd (0.6808, 0.6808, 0.6631)  3 Er 3.50-3.84, 6 Nd 3.51-3.64, 1 Tb 3.53
Nd (0.8158, 0.3209, 0.8336)  3 Er 3.49-3.82, 6 Nd 3.53-3.64, 1 Tb 3.54
Nd (0.8201, 0.8201, 0.3319)  3 Er 3.49-3.52, 6 Nd 3.51-3.65, 1 Tb 3.79
Er (0.0000, 0.5000, 0.5000)  8 Nd 3.50-3.82, 2 Er 3.53
Er (0.5000, 0.0000, 0.5000)  8 Nd 3.50-3.82, 2 Er 3.53
Er (0.5000, 0.5000, 0.0000)  8 Nd 3.49-3.84, 2 Tb 3.53